<a>
Entry from Alexandria: Be2MoCl after structural relaxation (PBE).

Lattice parameters (Å, degrees): 3.257 3.056 5.789 90.00 105.60 90.00
Positions (direct):
Be 0.102 0.000 0.187
Be 0.898 0.000 0.813
Mo 0.500 0.500 0.000
Cl 0.500 0.500 0.500

Properties
size of the total moment: 0.000 Bohr magnetons per cell
calculated volume: 55.51 Å³/cell

=====

<b>
Entry from Alexandria: Be2MoCl after structural relaxation (PBE).

Lattice parameters (Å, degrees): 4.771 4.771 4.771 145.49 123.63 67.80
Positions (direct):
Be 0.000 0.000 0.000
Be 0.783 0.283 0.500
Mo 0.510 0.510 0.000
Cl 0.248 0.748 0.500

Properties
size of the total moment: 0.000 Bohr magnetons per cell
calculated volume: 50.51 Å³/cell

=====

<c>
Entry from Alexandria: Be2MoCl after structural relaxation (PBE).

Lattice parameters (Å, degrees): 2.780 2.780 7.141 90.00 90.00 90.00
Positions (direct):
Be 0.000 0.000 0.238
Be 0.000 0.000 0.762
Mo 0.500 0.500 0.000
Cl 0.500 0.500 0.500

Properties
size of the total moment: 0.000 Bohr magnetons per cell
calculated volume: 55.17 Å³/cell

=====

<d>
Entry from Alexandria: Be2MoCl after structural relaxation (PBE).

Lattice parameters (Å, degrees): 4.896 4.896 2.757 105.30 105.30 115.50
Positions (direct):
Be 0.000 0.500 0.000
Be 0.500 0.000 0.000
Mo 0.000 0.000 0.500
Cl 0.500 0.500 0.500

Properties
size of the total moment: 0.000 Bohr magnetons per cell
calculated volume: 51.86 Å³/cell

=====

Energies relative to the most stable structure, in meV/atom: <a> 0; <b> 225; <c> 62; <d> 283.

=====

<a>
Entry from Alexandria: Be2MoCl after structural relaxation (PBE).

Lattice parameters (Å, degrees): 5.181 5.181 5.181 103.09 103.09 123.16
Positions (direct):
Be 0.100 0.625 0.975
Be 0.375 0.350 0.475
Be 0.650 0.125 0.025
Be 0.875 0.900 0.525
Mo 0.250 0.750 0.500
Mo 0.500 0.500 0.000
Cl 0.000 0.000 0.000
Cl 0.750 0.250 0.500

Properties
size of the total moment: 0.000 Bohr magnetons per cell
calculated volume: 102.42 Å³/cell

=====

<b>
Entry from Alexandria: Be2MoCl after structural relaxation (PBE).

Lattice parameters (Å, degrees): 4.000 4.978 4.978 31.99 90.00 90.00
Positions (direct):
Be 0.000 0.000 0.000
Be 0.500 0.109 0.109
Mo 0.500 0.398 0.398
Cl 0.000 0.234 0.234

Properties
size of the total moment: 0.000 Bohr magnetons per cell
calculated volume: 52.50 Å³/cell

=====

Energies relative to the most stable structure, in meV/atom: <a> 374; <b> 0.

=====

<a>
Entry from Alexandria: Be2MoCl after structural relaxation (PBE).

Lattice parameters (Å, degrees): 2.807 3.104 7.815 90.00 90.00 90.00
Positions (direct):
Be 0.000 0.000 0.000
Be 0.500 0.500 0.138
Mo 0.500 0.500 0.845
Cl 0.000 0.000 0.295

Properties
size of the total moment: 0.000 Bohr magnetons per cell
calculated volume: 68.08 Å³/cell

=====

<b>
Entry from Alexandria: Be2MoCl after structural relaxation (PBE).

Lattice parameters (Å, degrees): 3.842 3.842 6.015 96.50 96.50 43.83
Positions (direct):
Be 0.000 0.000 0.000
Be 0.726 0.726 0.134
Mo 0.461 0.461 0.318
Cl 0.020 0.020 0.664

Properties
size of the total moment: 0.000 Bohr magnetons per cell
calculated volume: 61.03 Å³/cell

=====

Energies relative to the most stable structure, in meV/atom: <a> 175; <b> 0.